--- i ---
First-principles (GGA-PBE) data for crystalline ZnIr3C at its relaxed geometry, as listed in the Alexandria database.

The structure in POSCAR format:
```
ZnIr3C
1.0
-1.281 -0.772 3.794
-2.640 -2.749 -1.451
2.832 -2.912 0.364
C Ir Zn
1 3 1
Direct
0.000 0.000 0.000
0.000 0.000 0.500
0.500 0.000 0.000
0.000 0.500 0.000
0.500 0.500 0.500
```

symmetry = No. 221

--- ii ---
First-principles (GGA-PBE) data for crystalline ZnIr3C at its relaxed geometry, as listed in the Alexandria database.

The structure in POSCAR format:
```
ZnIr3C
1.0
-1.148 -1.177 4.199
4.334 0.169 1.233
-0.480 4.350 1.089
Ir Zn C
3 1 1
Direct
0.000 0.000 0.500
0.500 0.000 0.000
0.000 0.500 0.000
0.000 0.000 0.000
0.500 0.500 0.500
```

symmetry = No. 221

Short version: ii is the least stable of them.

--- i ---
First-principles (GGA-PBE) data for crystalline ZrIrC3 at its relaxed geometry, as listed in the Alexandria database.

The structure in POSCAR format:
```
ZrIrC3
1.0
4.200 0.000 0.000
0.000 4.200 0.000
0.000 0.000 4.200
C Zr Ir
3 1 1
Direct
0.000 0.500 0.000
0.000 0.000 0.500
0.500 0.000 0.000
0.000 0.000 0.000
0.500 0.500 0.500
```

symmetry = No. 221

--- ii ---
First-principles (GGA-PBE) data for crystalline ZrIrC3 at its relaxed geometry, as listed in the Alexandria database.

The structure in POSCAR format:
```
ZrIrC3
1.0
-0.626 -0.470 -3.885
3.110 -2.449 -0.205
-2.376 -3.081 0.755
Ir C Zr
1 3 1
Direct
0.000 0.000 0.000
0.000 0.500 0.000
0.000 0.000 0.500
0.500 0.000 0.000
0.500 0.500 0.500
```

symmetry = No. 221

Short version: i is the least stable of them.